{"formula": "CsBaSb", "functional": "PBE", "state": "relaxed", "lattice": [[-3.630, 6.712, 6.344], [-1.522, -4.309, 3.687], [9.096, 0.651, 4.516]], "species": ["Ba", "Ba", "Ba", "Ba", "Sb", "Sb", "Sb", "Sb", "Cs", "Cs", "Cs", "Cs"], "frac_coords": [[0.151, 0.750, 0.583], [0.849, 0.250, 0.417], [0.349, 0.250, 0.083], [0.651, 0.750, 0.917], [0.203, 0.250, 0.398], [0.703, 0.250, 0.102], [0.297, 0.750, 0.898], [0.797, 0.750, 0.602], [0.513, 0.750, 0.329], [0.013, 0.750, 0.171], [0.987, 0.250, 0.829], [0.487, 0.250, 0.671]], "total_magnetization_mub_per_fu": 0.00, "e_tot_ev_per_atom": -3.09, "e_form_raw_ev_per_atom": -0.787}



{"formula": "ZrPbC3", "functional": "PBE", "state": "relaxed", "lattice": [[-0.638, 4.204, -0.631], [-4.138, -0.467, 1.068], [0.976, 0.766, 4.116]], "species": ["Zr", "Pb", "C", "C", "C"], "frac_coords": [[0.500, 0.500, 0.500], [0.000, 0.000, 0.000], [0.500, 0.000, 0.000], [0.000, 0.500, 0.000], [0.000, 0.000, 0.500]], "total_magnetization_mub_per_fu": 0.00, "e_tot_ev_per_atom": -5.23, "formation_energy_ev_per_fu": 13.8}



{"formula": "Na3AsRu", "functional": "PBE", "state": "relaxed", "lattice": [[-4.045, -0.775, 3.578], [2.273, -4.712, 1.549], [2.870, 2.639, 3.817]], "species": ["As", "Ru", "Na", "Na", "Na"], "frac_coords": [[0.000, 0.000, 0.000], [0.500, 0.500, 0.500], [0.500, 0.000, 0.000], [0.000, 0.000, 0.500], [0.000, 0.500, 0.000]], "total_magnetization_mub_per_fu": 3.90, "e_tot_ev_per_atom": -2.67, "formation_energy_ev_per_fu": 4.5}



{"formula": "Na3Ce2HoTe6", "functional": "PBE", "state": "relaxed", "lattice": [[7.840, -0.001, 0.000], [-3.919, 6.790, 0.000], [-1.308, -2.266, 7.521]], "species": ["Ho", "Na", "Na", "Na", "Te", "Te", "Te", "Te", "Te", "Te", "Ce", "Ce"], "frac_coords": [[0.000, 0.000, 0.000], [0.168, 0.832, 0.500], [0.832, 0.168, 0.500], [0.500, 0.500, 0.500], [0.245, 0.245, 0.764], [0.597, 0.921, 0.763], [0.755, 0.755, 0.236], [0.921, 0.597, 0.763], [0.403, 0.079, 0.237], [0.079, 0.403, 0.237], [0.666, 0.334, 0.000], [0.334, 0.666, 0.000]], "total_magnetization_mub_per_fu": 2.01, "e_tot_ev_per_atom": -4.54, "e_form_raw_ev_per_atom": -1.272}



{"formula": "Fe3BrCl7", "functional": "PBE", "state": "relaxed", "lattice": [[6.529, 0.000, 0.000], [0.000, 6.156, -3.554], [0.000, 0.000, 7.108]], "species": ["Br", "Cl", "Cl", "Cl", "Cl", "Cl", "Cl", "Cl", "Fe", "Fe", "Fe"], "frac_coords": [[0.534, 0.333, 0.667], [0.987, 0.176, 0.351], [0.987, 0.649, 0.824], [0.987, 0.176, 0.824], [0.583, 0.825, 0.650], [0.011, 0.667, 0.333], [0.583, 0.350, 0.175], [0.583, 0.825, 0.175], [0.786, 0.501, 0.499], [0.786, 0.501, 0.002], [0.786, 0.998, 0.499]], "total_magnetization_mub_per_fu": 14.01, "e_tot_ev_per_atom": -4.31, "e_form_raw_ev_per_atom": -0.678}



{"formula": "Cs3OsCl8", "functional": "PBE", "state": "relaxed", "lattice": [[-3.139, 6.337, -6.265], [-4.879, -7.465, -5.107], [-4.814, 5.065, 7.536]], "species": ["Cl", "Cl", "Cl", "Cl", "Cl", "Cl", "Cl", "Cl", "Cl", "Cl", "Cl", "Cl", "Cl", "Cl", "Cl", "Cl", "Cs", "Cs", "Cs", "Cs", "Cs", "Cs", "Os", "Os"], "frac_coords": [[0.296, 0.227, 0.773], [0.955, 0.000, 0.000], [0.012, 0.440, 0.560], [0.296, 0.227, 0.453], [0.796, 0.773, 0.227], [0.296, 0.547, 0.773], [0.796, 0.773, 0.547], [0.512, 0.560, 0.440], [0.796, 0.453, 0.227], [0.455, 0.000, 0.000], [0.012, 0.440, 0.881], [0.140, 0.667, 0.333], [0.640, 0.333, 0.667], [0.512, 0.560, 0.119], [0.512, 0.881, 0.440], [0.012, 0.119, 0.560], [0.701, 0.154, 0.308], [0.201, 0.846, 0.154], [0.701, 0.154, 0.846], [0.701, 0.692, 0.846], [0.201, 0.308, 0.154], [0.201, 0.846, 0.692], [0.153, 0.333, 0.667], [0.653, 0.667, 0.333]], "total_magnetization_mub_per_fu": 3.04, "e_tot_ev_per_atom": -3.59, "e_form_raw_ev_per_atom": -1.213}



Q: Number 3 is which compound?
A: Na3AsRu



Q: Which formula does entry 1 have?
A: CsBaSb